# K2SrBi2

A relaxed structure of K2SrBi2 (PBE, Alexandria).

As for the polymorph energy (0 for the lowest one): 0.49 eV/f.u. For the total energy, the calculation gives -0.19725 Ry/atom. The value obtained for the formation energy is -0.356 eV per atom. The space-group type is I4/mmm, No. 139. The calculation puts the total magnetization at 0.0 Bohr magnetons per cell.

```
5
Lattice="5.021 0.000 0.000 0.000 5.021 0.000 2.511 2.511 8.066" Properties=species:S:1:pos:R:3 pbc="T T T"
Bi 5.021 5.021 6.554
Bi 2.511 2.511 1.513
Sr 0.000 0.000 0.000
K 5.021 2.511 4.033
K 2.511 5.021 4.033
```

# Ca2Hg2Te

A relaxed structure of Ca2Hg2Te (PBE, Alexandria).

As for the polymorph energy (0 for the lowest one): 1.15 eV/f.u. For the total energy, the calculation gives -0.14462 Ry/atom. The calculation puts the uncorrected formation energy at -0.42 eV per atom. The space-group type is I4/mmm, No. 139. The calculation puts the total magnetization at 0.0 Bohr magnetons per cell.

```
5
Lattice="5.802 0.000 0.000 0.000 5.802 0.000 2.901 2.901 4.875" Properties=species:S:1:pos:R:3 pbc="T T T"
Te 0.000 0.000 0.000
Ca 5.802 2.901 2.437
Ca 2.901 5.802 2.437
Hg 5.802 5.802 3.474
Hg 2.901 2.901 1.401
```

# YAlIn2

A relaxed structure of YAlIn2 (PBE, Alexandria).

For the total energy, the calculation gives -0.30402 Ry/atom. The value obtained for the formation energy is -0.216 eV per atom. The space-group type is Cmmm, No. 65. The calculation puts the total magnetization at 0.0 Bohr magnetons per cell.

```
4
Lattice="5.450 -0.028 0.000 -1.814 5.139 0.000 0.000 0.000 3.484" Properties=species:S:1:pos:R:3 pbc="T T T"
In 1.818 2.556 0.000
In 0.000 0.000 0.000
Y 2.725 -0.014 1.742
Al -0.907 2.569 1.742
```

# CoTePb2

A relaxed structure of CoTePb2 (PBE, Alexandria).

As for the polymorph energy (0 for the lowest one): 0.84 eV/f.u. For the total energy, the calculation gives -0.30312 Ry/atom. The calculation puts the uncorrected formation energy at 0.29 eV per atom. The space-group type is P4/mmm, No. 123. The calculation puts the total magnetization at 0.7 Bohr magnetons per cell.

```
4
Lattice="-1.472 -2.906 -0.165 2.606 -1.228 -1.530 3.786 -2.392 8.368" Properties=species:S:1:pos:R:3 pbc="T T T"
Co 3.407 -3.861 5.429
Pb 3.518 -2.223 7.776
Pb 2.161 -1.365 4.776
Te 1.514 -2.665 1.244
```